The following is a DFT calculation (PBE-GGA) of a relaxed structure of LaTb4Pr2Sc.

Formation energy, eV/atom: 0.130
Space-group type: P4/mmm, No. 123
Spin magnetization, μB/atom: 0.001
E, eV/atom: -4.787

abc: 5.912 5.906 9.544
angles: 51.78 90.00 90.00
Sites, in units of the cell vectors:
1 Pr 0.000 0.000 0.000
2 Pr 0.500 0.000 0.500
3 Tb 0.000 0.762 0.737
4 Tb 0.500 0.737 0.263
5 Tb 0.000 0.238 0.263
6 Tb 0.500 0.263 0.737
7 La 0.500 0.500 0.000
8 Sc 0.000 0.500 0.500



The following is a DFT calculation (PBE-GGA) of a relaxed structure of RbRe2Cl8.

Space-group type: C2/m, No. 12
Spin magnetization, μB/atom: 0.100
Uncorrected formation energy, eV/atom: -0.497
E, eV/atom: -4.192

abc: 8.518 7.674 7.674
angles: 55.58 72.85 72.85
Last column: magnetic moment on the atom in μB.
Sites, in units of the cell vectors:
1 Cl 0.231 0.889 0.369  0.02
2 Cl 0.769 0.631 0.111  0.02
3 Cl 0.829 0.619 0.619  0.02
4 Cl 0.769 0.111 0.631  0.02
5 Cl 0.585 0.183 0.183  0.02
6 Cl 0.171 0.381 0.381  0.02
7 Cl 0.415 0.817 0.817  0.02
8 Cl 0.231 0.369 0.889  0.02
9 Re 0.689 0.791 0.791  0.39
10 Re 0.311 0.209 0.209  0.39
11 Rb 0.000 0.000 0.000  0.00



The following is a DFT calculation (PBE-GGA) of a relaxed structure of Pr4NdY2.

Formation energy, eV/atom: 0.059
Space-group type: Fdd2, No. 43
Spin magnetization, μB/atom: 0.000
E, eV/atom: -5.200

abc: 12.759 12.759 6.922
angles: 96.99 96.99 150.22
Sites, in units of the cell vectors:
1 Pr 0.594 0.558 0.627
2 Pr 0.717 0.182 0.874
3 Pr 0.031 0.138 0.596
4 Pr 0.792 0.185 0.404
5 Pr 0.185 0.792 0.904
6 Pr 0.182 0.717 0.374
7 Pr 0.558 0.594 0.127
8 Pr 0.138 0.031 0.096
9 Nd 0.676 0.426 0.000
10 Nd 0.426 0.676 0.500
11 Y 0.623 0.306 0.448
12 Y 0.306 0.623 0.948
13 Y 0.108 0.925 0.552
14 Y 0.925 0.108 0.052



The following is a DFT calculation (PBE-GGA) of a relaxed structure of Zr2InP.

Formation energy, eV/atom: -0.644
Space-group type: P4/mmm, No. 123
Spin magnetization, μB/atom: 0.000
E, eV/atom: -6.955

abc: 3.223 3.223 7.716
angles: 90.00 90.00 90.00
Sites, in units of the cell vectors:
1 In 0.500 0.500 0.000
2 Zr 0.000 0.000 0.703
3 Zr 0.000 0.000 0.297
4 P 0.500 0.500 0.500



The following is a DFT calculation (PBE-GGA) of a relaxed structure of BaGaPb3.

Formation energy, eV/atom: -0.248
Space-group type: Pmn2_1, No. 31
Spin magnetization, μB/atom: 0.000
E, eV/atom: -3.463

abc: 6.957 7.011 6.951
angles: 90.00 90.01 90.00
Sites, in units of the cell vectors:
1 Ba 0.966 0.941 0.201
2 Ba 0.466 0.411 0.701
3 Ga 0.131 0.776 0.701
4 Ga 0.631 0.576 0.201
5 Pb 0.470 0.899 0.950
6 Pb 0.343 0.283 0.201
7 Pb 0.969 0.453 0.951
8 Pb 0.469 0.899 0.451
9 Pb 0.843 0.070 0.701
10 Pb 0.970 0.453 0.450



The following is a DFT calculation (PBE-GGA) of a relaxed structure of CuAsNO2.

Space-group type: P4/mmm, No. 123
Spin magnetization, μB/atom: 0.002
Uncorrected formation energy, eV/atom: 0.341
E, eV/atom: -5.056

abc: 3.686 3.686 3.818
angles: 90.00 90.00 90.00
Sites, in units of the cell vectors:
1 O 0.000 0.500 0.000
2 O 0.500 0.000 0.000
3 Cu 0.500 0.500 0.500
4 N 0.000 0.000 0.500
5 As 0.000 0.000 0.000



The following is a DFT calculation (PBE-GGA) of a relaxed structure of DyYMgZn.

Formation energy, eV/atom: -0.189
Space-group type: F-43m, No. 216
Spin magnetization, μB/atom: 0.000
E, eV/atom: -3.673

abc: 5.200 5.200 5.200
angles: 60.00 60.00 60.00
Sites, in units of the cell vectors:
1 Y 0.750 0.750 0.750
2 Zn 0.000 0.000 0.000
3 Mg 0.500 0.500 0.500
4 Dy 0.250 0.250 0.250



The following is a DFT calculation (PBE-GGA) of a relaxed structure of MoP2.

Formation energy, eV/atom: -0.099
Space-group type: I4_1/amd, No. 141
Spin magnetization, μB/atom: 0.000
E, eV/atom: -7.316

abc: 9.865 9.865 9.865
angles: 162.20 162.20 25.27
Sites, in units of the cell vectors:
1 P 0.429 0.429 0.000
2 P 0.571 0.571 0.000
3 P 0.179 0.679 0.500
4 P 0.321 0.821 0.500
5 Mo 0.000 0.000 0.000
6 Mo 0.750 0.250 0.500